[1]
Compound: CePaCoRu
Source: Alexandria via LeMat-Bulk
Functional: GGA-PBE
Structure: relaxed

Polymorph energy (0 for the lowest one)   0 meV/atom
ΔE_f   -0.41 eV/atom
E_tot   -33.44 eV per cell
Calculated volume   80.4 Å³/cell

```
CePaCoRu
1.0
3.749 0.000 0.000
0.000 3.806 0.000
-1.875 0.000 5.633
Ce Pa Co Ru
1 1 1 1
Direct
0.865 0.500 0.729
0.136 0.000 0.272
0.402 0.000 0.805
0.597 0.500 0.194
```

---

[2]
Compound: CePaCoRu
Source: Alexandria via LeMat-Bulk
Functional: GGA-PBE
Structure: relaxed

Polymorph energy (0 for the lowest one)   214 meV/atom
ΔE_f   -0.19 eV/atom
E_tot   -32.59 eV per cell
Calculated volume   77.7 Å³/cell

```
CePaCoRu
1.0
-4.748 -0.305 -0.548
-2.780 -1.064 3.752
-2.849 3.351 1.896
Ru Pa Co Ce
1 1 1 1
Direct
0.000 0.000 0.000
0.250 0.250 0.250
0.500 0.500 0.500
0.750 0.750 0.750
```